A plane-wave DFT calculation with PBE-GGA was carried out for a geometry-optimized TeMo2P structure.

Summary:
Its relative energy among the computed polymorphs is 93 meV/atom.

a b c (Å): 3.1918 3.1918 8.0859
angles (deg): 90.00 90.00 90.00
Last column: nearest neighbours and their distance in Å.
Space group P4mm (No. 99)
Inequivalent atoms, fractional coordinates:
Te: 0.0000 0.0000 0.0000 (multiplicity 1)  4 Mo 2.81
Mo: 0.0000 0.0000 0.5690 (multiplicity 1)  4 P 2.45
Mo: 0.5000 0.5000 0.7936 (multiplicity 1)  1 P 2.76, 4 Te 2.81, 4 Mo 2.90
P: 0.5000 0.5000 0.4524 (multiplicity 1)  4 Mo 2.45

***

A plane-wave DFT calculation with PBE-GGA was carried out for a geometry-optimized TeMoP2 structure.

Summary:
The final energy is -5.639 eV per atom.

a b c (Å): 3.1725 5.6773 9.0860
angles (deg): 90.00 90.00 90.00
Last column: nearest neighbours and their distance in Å.
Space group Cmm2 (No. 35)
Inequivalent atoms, fractional coordinates:
Te: 0.0000 0.0000 0.0000 (multiplicity 2)  2 Mo 2.72
Mo: 0.0000 0.5000 0.2428 (multiplicity 2)  2 P 2.49, 2 Te 2.72
P: 0.0000 0.0000 0.4541 (multiplicity 2)  2 P 2.18
P: 0.0000 0.5000 0.6190 (multiplicity 2)  2 P 2.18

***

A plane-wave DFT calculation with PBE-GGA was carried out for a geometry-optimized TeMo2P structure.

Summary:
Its relative energy among the computed polymorphs is 0 meV/atom.

a b c (Å): 3.2393 3.3448 13.2610
angles (deg): 90.00 90.00 90.00
Last column: nearest neighbours and their distance in Å.
Space group Imm2 (No. 44)
Inequivalent atoms, fractional coordinates:
Te: 0.0000 0.0000 0.0000 (multiplicity 2)  6 Mo 2.80-3.03
Mo: 0.0000 0.0000 0.6167 (multiplicity 2)  2 P 2.43
Mo: 0.0000 0.5000 0.3070 (multiplicity 2)  4 P 2.45
P: 0.0000 0.5000 0.7492 (multiplicity 2)  6 Mo 2.43-2.45

***

A plane-wave DFT calculation with PBE-GGA was carried out for a geometry-optimized TeMo2P structure.

Summary:
Its relative energy among the computed polymorphs is 265 meV/atom.

a b c (Å): 6.3656 6.3656 6.3656
angles (deg): 90.00 90.00 90.00
Last column: nearest neighbours and their distance in Å.
Space group Fm-3m (No. 225)
Inequivalent atoms, fractional coordinates:
Te: 0.0000 0.0000 0.0000 (multiplicity 4)  8 Mo 2.76
Mo: 0.2500 0.2500 0.2500 (multiplicity 8)  4 Te 2.76, 4 P 2.76
P: 0.0000 0.0000 0.5000 (multiplicity 4)  8 Mo 2.76

***

| no. | total moment (μB/f.u.) |
| --- | --- |
| 1 | 0.0 |
| 2 | 0.0 |
| 3 | 0.0 |
| 4 | 0.0 |